Be2HgP | Alexandria | PBE | relaxed; crystal system = cubic; volume = 57.5 Å³/f.u.; E_form = 715 meV/atom; electronic total energy = -0.09468 Ha/atom
1.0
0.000 3.064 3.064
3.064 0.000 3.064
3.064 3.064 0.000
Be Hg P
2 1 1
Direct
0.250 0.250 0.250 Be
0.750 0.750 0.750 Be
0.000 0.000 0.000 Hg
0.500 0.500 0.500 P